(1)
An optimized crystal structure of Al2FeOsW. Source: Alexandria, functional PBEsol.

Cell: 4.4915 4.4915 4.5242 Å, 90.00 90.00 90.00°
Last column: nearest neighbours and their distance in Å.
Positions (direct):
Os 0.0000 0.0000 0.0000  4 Al 2.25, 2 Fe 2.26
Fe 0.0000 0.0000 0.5000  2 Os 2.26
Al 0.0000 0.5000 0.0000  2 Os 2.25
Al 0.5000 0.0000 0.0000  2 Os 2.25
W 0.5000 0.5000 0.5000  4 Fe 3.18, 8 Al 3.19

Results
Calculated volume = 91.3 Å³/f.u.
DFT total energy = -7.15 eV per atom
Space-group type = P4/mmm (123)
ΔH_f (0 K) = 1.48 eV/atom

(2)
An optimized crystal structure of SrLa2Pt. Source: Alexandria, functional PBEsol.

Cell: 3.7056 3.7056 9.8228 Å, 90.00 90.00 90.22°
Last column: nearest neighbours and their distance in Å.
Positions (direct):
Pt 0.5000 0.5000 0.5000  8 La 3.07-3.08
Sr 0.5000 0.5000 0.0000  4 Sr 3.71
La 0.0000 0.0000 0.6632  4 Pt 3.07-3.08, 1 La 3.21
La 0.0000 0.0000 0.3368  4 Pt 3.07-3.08, 1 La 3.21

Results
Calculated volume = 134.9 Å³/f.u.
DFT total energy = -5.31 eV per atom
Space-group type = Cmmm (65)
Energy above the lowest structure with this stoichiometry = 0.19 eV per formula unit
ΔH_f (0 K) = -0.44 eV/atom